# 1
Material: ZrMn2Pd9
Method: DFT, PBE
State: optimized geometry

Magnetization: 8.04 μB/f.u.
SG: P4/mmm, No. 123
Crystal system: tetragonal
Energy of formation: -423.2 meV/atom
Uncorrected energy: -78.7 eV per cell

The structure in CIF format:
```
data_ZrMn2Pd9
_symmetry_space_group_name_H-M 'P 1'
_symmetry_Int_Tables_number 1
_cell_length_a 3.971
_cell_length_b 3.971
_cell_length_c 11.817
_cell_angle_alpha 90.00
_cell_angle_beta 90.00
_cell_angle_gamma 90.00
loop_
_symmetry_equiv_pos_as_xyz
'x,y,z'
loop_
_atom_site_label
_atom_site_fract_x
_atom_site_fract_y
_atom_site_fract_z
Pd1 0.000 0.500 0.829
Pd2 0.500 0.000 0.171
Pd3 0.500 0.000 0.829
Pd4 0.500 0.500 0.000
Pd5 0.000 0.500 0.171
Pd6 0.000 0.500 0.500
Pd7 0.500 0.500 0.335
Pd8 0.500 0.000 0.500
Pd9 0.500 0.500 0.665
Mn1 0.000 0.000 0.660
Mn2 0.000 0.000 0.340
Zr1 0.000 0.000 0.000
```

# 2
Material: Zr3Mn2Pd
Method: DFT, PBE
State: optimized geometry

Magnetization: 0.00 μB/f.u.
SG: P4/mmm, No. 123
Crystal system: tetragonal
Energy of formation: -270.4 meV/atom
Uncorrected energy: -50.8 eV per cell

The structure in CIF format:
```
data_Zr3Mn2Pd
_symmetry_space_group_name_H-M 'P 1'
_symmetry_Int_Tables_number 1
_cell_length_a 3.235
_cell_length_b 3.235
_cell_length_c 9.802
_cell_angle_alpha 90.00
_cell_angle_beta 90.00
_cell_angle_gamma 90.00
loop_
_symmetry_equiv_pos_as_xyz
'x,y,z'
loop_
_atom_site_label
_atom_site_fract_x
_atom_site_fract_y
_atom_site_fract_z
Pd1 0.500 0.500 0.500
Zr1 0.000 0.000 0.000
Zr2 0.000 0.000 0.317
Zr3 0.000 0.000 0.683
Mn1 0.500 0.500 0.832
Mn2 0.500 0.500 0.168
```

# 3
Material: Zr3MnPd
Method: DFT, PBE
State: optimized geometry

Magnetization: 0.67 μB/f.u.
SG: Pm-3m, No. 221
Crystal system: cubic
Energy of formation: 1075.0 meV/atom
Uncorrected energy: -34.6 eV per cell
Distance to the lowest polymorph of the same formula: 790 meV/atom

The structure in CIF format:
```
data_Zr3MnPd
_symmetry_space_group_name_H-M 'P 1'
_symmetry_Int_Tables_number 1
_cell_length_a 5.005
_cell_length_b 5.005
_cell_length_c 5.005
_cell_angle_alpha 90.00
_cell_angle_beta 90.00
_cell_angle_gamma 90.00
loop_
_symmetry_equiv_pos_as_xyz
'x,y,z'
loop_
_atom_site_label
_atom_site_fract_x
_atom_site_fract_y
_atom_site_fract_z
Zr1 0.000 0.000 0.500
Zr2 0.000 0.500 0.000
Zr3 0.500 0.000 0.000
Mn1 0.500 0.500 0.500
Pd1 0.000 0.000 0.000
```

# 4
Material: ZrMn2Pd8
Method: DFT, PBE
State: optimized geometry

Magnetization: 8.71 μB/f.u.
SG: C2/m, No. 12
Crystal system: monoclinic
Energy of formation: -406.4 meV/atom
Uncorrected energy: -72.9 eV per cell
Distance to the lowest polymorph of the same formula: 0 meV/atom

The structure in CIF format:
```
data_ZrMn2Pd8
_symmetry_space_group_name_H-M 'P 1'
_symmetry_Int_Tables_number 1
_cell_length_a 4.035
_cell_length_b 6.314
_cell_length_c 7.360
_cell_angle_alpha 106.07
_cell_angle_beta 105.91
_cell_angle_gamma 90.00
loop_
_symmetry_equiv_pos_as_xyz
'x,y,z'
loop_
_atom_site_label
_atom_site_fract_x
_atom_site_fract_y
_atom_site_fract_z
Pd1 0.402 0.541 0.803
Pd2 0.598 0.459 0.197
Pd3 0.142 0.195 0.285
Pd4 0.682 0.917 0.363
Pd5 0.044 0.726 0.089
Pd6 0.956 0.274 0.911
Pd7 0.318 0.083 0.637
Pd8 0.858 0.805 0.715
Mn1 0.224 0.651 0.449
Mn2 0.776 0.349 0.551
Zr1 0.500 0.000 0.000
```

# 5
Material: ZrMn4Pd
Method: DFT, PBE
State: optimized geometry

Magnetization: 0.00 μB/f.u.
SG: F-43m, No. 216
Crystal system: cubic
Energy of formation: -41.5 meV/atom
Uncorrected energy: -50.7 eV per cell

The structure in CIF format:
```
data_ZrMn4Pd
_symmetry_space_group_name_H-M 'P 1'
_symmetry_Int_Tables_number 1
_cell_length_a 4.833
_cell_length_b 4.833
_cell_length_c 4.833
_cell_angle_alpha 60.00
_cell_angle_beta 60.00
_cell_angle_gamma 60.00
loop_
_symmetry_equiv_pos_as_xyz
'x,y,z'
loop_
_atom_site_label
_atom_site_fract_x
_atom_site_fract_y
_atom_site_fract_z
Pd1 0.000 0.000 0.000
Mn1 0.628 0.628 0.628
Mn2 0.628 0.117 0.628
Mn3 0.117 0.628 0.628
Mn4 0.628 0.628 0.117
Zr1 0.250 0.250 0.250
```

# 6
Material: ZrMn2Pd2
Method: DFT, PBE
State: optimized geometry

Magnetization: 0.93 μB/f.u.
SG: I4/mmm, No. 139
Crystal system: tetragonal
Energy of formation: 40.5 meV/atom
Uncorrected energy: -37.1 eV per cell
Distance to the lowest polymorph of the same formula: 0 meV/atom

The structure in CIF format:
```
data_ZrMn2Pd2
_symmetry_space_group_name_H-M 'P 1'
_symmetry_Int_Tables_number 1
_cell_length_a 3.369
_cell_length_b 3.369
_cell_length_c 7.291
_cell_angle_alpha 76.64
_cell_angle_beta 76.64
_cell_angle_gamma 90.00
loop_
_symmetry_equiv_pos_as_xyz
'x,y,z'
loop_
_atom_site_label
_atom_site_fract_x
_atom_site_fract_y
_atom_site_fract_z
Pd1 0.601 0.601 0.797
Pd2 0.399 0.399 0.203
Mn1 0.750 0.250 0.500
Mn2 0.250 0.750 0.500
Zr1 0.000 0.000 0.000
```

# 7
Material: Zr2MnPd8
Method: DFT, PBE
State: optimized geometry

Magnetization: 4.35 μB/f.u.
SG: Immm, No. 71
Crystal system: orthorhombic
Energy of formation: -485.2 meV/atom
Uncorrected energy: -73.1 eV per cell

The structure in CIF format:
```
data_Zr2MnPd8
_symmetry_space_group_name_H-M 'P 1'
_symmetry_Int_Tables_number 1
_cell_length_a 4.523
_cell_length_b 5.991
_cell_length_c 7.788
_cell_angle_alpha 112.61
_cell_angle_beta 106.88
_cell_angle_gamma 90.00
loop_
_symmetry_equiv_pos_as_xyz
'x,y,z'
loop_
_atom_site_label
_atom_site_fract_x
_atom_site_fract_y
_atom_site_fract_z
Zr1 0.191 0.691 0.382
Zr2 0.809 0.309 0.618
Pd1 0.000 0.263 0.000
Pd2 0.361 0.593 0.723
Pd3 0.639 0.871 0.278
Pd4 0.361 0.129 0.722
Pd5 0.639 0.407 0.277
Pd6 0.824 0.823 0.647
Pd7 0.176 0.177 0.353
Pd8 0.000 0.737 0.000
Mn1 0.500 0.000 0.000
```

# 8
Material: Zr3MnPd
Method: DFT, PBE
State: optimized geometry

Magnetization: 0.00 μB/f.u.
SG: Pm-3m, No. 221
Crystal system: cubic
Energy of formation: 285.3 meV/atom
Uncorrected energy: -38.6 eV per cell
Distance to the lowest polymorph of the same formula: 0 meV/atom

The structure in CIF format:
```
data_Zr3MnPd
_symmetry_space_group_name_H-M 'P 1'
_symmetry_Int_Tables_number 1
_cell_length_a 4.765
_cell_length_b 4.765
_cell_length_c 4.765
_cell_angle_alpha 90.00
_cell_angle_beta 90.00
_cell_angle_gamma 90.00
loop_
_symmetry_equiv_pos_as_xyz
'x,y,z'
loop_
_atom_site_label
_atom_site_fract_x
_atom_site_fract_y
_atom_site_fract_z
Zr1 0.000 0.500 0.000
Zr2 0.500 0.000 0.000
Zr3 0.000 0.000 0.500
Mn1 0.000 0.000 0.000
Pd1 0.500 0.500 0.500
```

# 9
Material: ZrMnPd2
Method: DFT, PBE
State: optimized geometry

Magnetization: 3.00 μB/f.u.
SG: I-42d, No. 122
Crystal system: tetragonal
Energy of formation: -32.3 meV/atom
Uncorrected energy: -56.5 eV per cell

The structure in CIF format:
```
data_ZrMnPd2
_symmetry_space_group_name_H-M 'P 1'
_symmetry_Int_Tables_number 1
_cell_length_a 3.959
_cell_length_b 3.959
_cell_length_c 9.525
_cell_angle_alpha 78.01
_cell_angle_beta 78.01
_cell_angle_gamma 90.00
loop_
_symmetry_equiv_pos_as_xyz
'x,y,z'
loop_
_atom_site_label
_atom_site_fract_x
_atom_site_fract_y
_atom_site_fract_z
Pd1 0.139 0.625 0.250
Pd2 0.875 0.861 0.750
Pd3 0.611 0.125 0.250
Pd4 0.375 0.389 0.750
Zr1 0.000 0.000 0.000
Zr2 0.750 0.250 0.500
Mn1 0.250 0.750 0.500
Mn2 0.500 0.500 0.000
```

# 10
Material: ZrMnPd3
Method: DFT, PBE
State: optimized geometry

Magnetization: 3.37 μB/f.u.
SG: Pm-3m, No. 221
Crystal system: cubic
Energy of formation: 419.3 meV/atom
Uncorrected energy: -31.2 eV per cell
Distance to the lowest polymorph of the same formula: 0 meV/atom

The structure in CIF format:
```
data_ZrMnPd3
_symmetry_space_group_name_H-M 'P 1'
_symmetry_Int_Tables_number 1
_cell_length_a 4.617
_cell_length_b 4.617
_cell_length_c 4.617
_cell_angle_alpha 90.00
_cell_angle_beta 90.00
_cell_angle_gamma 90.00
loop_
_symmetry_equiv_pos_as_xyz
'x,y,z'
loop_
_atom_site_label
_atom_site_fract_x
_atom_site_fract_y
_atom_site_fract_z
Pd1 0.000 0.500 0.000
Pd2 0.500 0.000 0.000
Pd3 0.000 0.000 0.500
Zr1 0.500 0.500 0.500
Mn1 0.000 0.000 0.000
```